Crystalline LiBRu2 at its relaxed geometry, computed with PBE.

Unit cell a=3.748 b=3.748 c=8.144 alpha=76.70 beta=76.70 gamma=90.00
Positions (direct):
Ru 0.686 0.125 0.250
Ru 0.064 0.625 0.250
Ru 0.375 0.314 0.750
Ru 0.875 0.936 0.750
B 0.000 0.000 0.000
B 0.750 0.250 0.500
Li 0.500 0.500 0.000
Li 0.250 0.750 0.500

ΔE_f = 0.77 eV per atom

Crystalline LiBRu3 at its relaxed geometry, computed with PBE.

Unit cell a=4.074 b=4.074 c=4.074 alpha=90.00 beta=90.00 gamma=90.00
Last column: magnetic moment on the atom in μB.
Positions (direct):
Ru 0.000 0.500 0.000  0.61
Ru 0.000 0.000 0.500  0.42
Ru 0.500 0.000 0.000  0.44
B 0.000 0.000 0.000  -0.03
Li 0.500 0.500 0.500  -0.01

ΔE_f = 0.27 eV per atom

Crystalline LiBRuSe2 at its relaxed geometry, computed with PBE.

Unit cell a=5.027 b=3.974 c=5.027 alpha=90.00 beta=90.00 gamma=90.00
Positions (direct):
Ru 0.000 0.000 0.000
B 0.000 0.500 0.000
Se 0.000 0.000 0.500
Se 0.500 0.000 0.000
Li 0.500 0.500 0.500

formation energy from raw total energies = 0.278 eV/atom

Crystalline LiSnBRu2 at its relaxed geometry, computed with PBE.

Unit cell a=4.139 b=4.139 c=4.006 alpha=90.00 beta=90.00 gamma=90.00
Positions (direct):
Ru 0.000 0.500 0.000
Ru 0.500 0.000 0.000
B 0.000 0.000 0.000
Sn 0.500 0.500 0.500
Li 0.000 0.000 0.500

ΔE_f = -0.16 eV per atom

Crystalline LiY2BRu at its relaxed geometry, computed with PBE.

Unit cell a=5.146 b=5.146 c=3.963 alpha=90.00 beta=90.00 gamma=90.00
Positions (direct):
Y 0.000 0.500 0.000
Y 0.500 0.000 0.000
Ru 0.000 0.000 0.500
B 0.000 0.000 0.000
Li 0.500 0.500 0.500

ΔE_f = -0.17 eV per atom

Crystalline LiZrBRu2 at its relaxed geometry, computed with PBE.

Unit cell a=4.181 b=4.181 c=3.929 alpha=90.00 beta=90.00 gamma=90.00
Positions (direct):
Ru 0.000 0.500 0.000
Ru 0.500 0.000 0.000
B 0.000 0.000 0.000
Zr 0.500 0.500 0.500
Li 0.000 0.000 0.500

ΔE_f = -0.30 eV per atom

Crystalline LiBS2 at its relaxed geometry, computed with PBE.

Unit cell a=3.179 b=3.179 c=6.332 alpha=90.00 beta=90.00 gamma=120.00
Positions (direct):
S 0.333 0.667 0.824
S 0.667 0.333 0.197
B 0.000 0.000 0.989
Li 0.333 0.667 0.444

formation energy from raw total energies = -0.147 eV/atom

Crystalline LiBS2 at its relaxed geometry, computed with PBE.

Unit cell a=5.299 b=7.150 c=5.262 alpha=127.32 beta=91.90 gamma=81.46
Positions (direct):
S 0.002 0.202 0.008
S 0.936 0.672 0.030
S 0.488 0.137 0.430
S 0.554 0.667 0.409
B 0.633 0.847 0.285
B 0.857 0.491 0.154
Li 0.994 0.164 0.470
Li 0.495 0.175 0.968

formation energy from raw total energies = -0.746 eV/atom

Crystalline LiBS2 at its relaxed geometry, computed with PBE.

Unit cell a=21.572 b=6.001 c=4.380 alpha=90.00 beta=144.29 gamma=90.00
Positions (direct):
S 0.953 0.858 0.810
S 0.047 0.142 0.190
S 0.547 0.358 0.690
S 0.453 0.642 0.310
S 0.181 0.627 0.726
S 0.819 0.373 0.274
S 0.319 0.127 0.774
S 0.681 0.873 0.226
B 0.461 0.117 0.345
B 0.539 0.883 0.655
B 0.039 0.617 0.155
B 0.961 0.383 0.845
Li 0.252 0.245 0.006
Li 0.748 0.755 0.994
Li 0.248 0.745 0.494
Li 0.752 0.255 0.506

formation energy from raw total energies = -0.625 eV/atom

Crystalline LiB3S at its relaxed geometry, computed with PBE.

Unit cell a=3.879 b=3.879 c=3.879 alpha=90.00 beta=90.00 gamma=90.00
Positions (direct):
S 0.500 0.500 0.500
B 0.000 0.500 0.000
B 0.000 0.000 0.500
B 0.500 0.000 0.000
Li 0.000 0.000 0.000

formation energy from raw total energies = 2.194 eV/atom

Crystalline LiBS2 at its relaxed geometry, computed with PBE.

Unit cell a=5.431 b=5.432 c=7.996 alpha=70.26 beta=70.21 gamma=90.01
Positions (direct):
S 0.289 0.800 0.145
S 0.059 0.132 0.608
S 0.851 0.361 0.145
S 0.620 0.570 0.608
B 0.843 0.354 0.601
B 0.067 0.577 0.152
Li 0.455 0.466 0.376
Li 0.954 0.965 0.377

formation energy from raw total energies = -0.650 eV/atom

Crystalline Li2BS2 at its relaxed geometry, computed with PBE.

Unit cell a=5.067 b=5.067 c=4.866 alpha=58.63 beta=58.63 gamma=90.00
Positions (direct):
S 0.263 0.263 0.474
S 0.737 0.737 0.526
B 0.000 0.000 0.000
Li 0.750 0.250 0.500
Li 0.250 0.750 0.500

formation energy from raw total energies = -0.538 eV/atom

no.,calculated volume (A^3/atom)
1,13.52
2,13.52
3,20.09
4,13.73
5,20.98
6,13.73
7,13.86
8,19.55
9,20.68
10,11.67
11,25.90
12,16.91